# 1
## V2CuHO6 (PBE with a Hubbard U)

Data for crystalline V2CuHO6 at its relaxed geometry.

Structure (extended XYZ):
```
20
Lattice="5.5882 0.8603 0.8928 2.8196 7.9047 0.6291 2.8196 0.3357 7.9225" Properties=species:S:1:pos:R:3 pbc="T T T"
V 2.8344 3.5029 2.1268
V 5.6285 2.4257 4.0257
V 5.5990 6.6750 5.4188
V 8.3931 5.5978 7.3176
O 8.0392 6.1677 8.8531
O 4.2377 5.5342 5.7280
O 5.2450 8.1882 6.0451
O 8.6932 3.8687 7.3542
O 4.1957 3.1516 3.2554
O 2.5343 5.2320 2.0903
O 7.0319 5.9491 6.1891
O 5.8991 6.7756 3.6922
O 6.9898 3.5665 3.7165
O 5.9825 0.9125 3.3993
O 5.3285 2.3251 5.7523
O 3.1884 2.9330 0.5914
Cu 4.2167 6.5874 2.3289
Cu 7.0108 2.5133 7.1156
H 4.2167 2.6349 6.1375
H 7.0108 6.4658 3.3069
```

## Properties
Total DFT energy (no corrections): -0.4906 Ry/atom
Symmetry: No. 15
Magnetization: 0.006 μB per atom

# 2
## V2Cu5H4O12 (PBE with a Hubbard U)

Data for crystalline V2Cu5H4O12 at its relaxed geometry.

Structure (extended XYZ):
```
23
Lattice="-1.9242 4.1935 -3.0952 -4.6908 -3.6962 -2.0451 -4.2295 1.6989 5.2209" Properties=species:S:1:pos:R:3 pbc="T T T"
V -4.6599 2.3214 1.8095
V -6.1845 -0.1253 -1.7289
H -6.2696 4.5214 2.5169
H -6.5305 2.6557 -0.0089
H -4.5749 -2.3253 -2.4363
H -4.3140 -0.4596 0.0896
Cu -7.6420 0.9572 1.3604
Cu -3.2025 1.2388 -1.2798
Cu -2.1509 0.0100 1.4318
Cu -8.6936 2.1860 -1.3512
Cu -2.3454 -1.8481 -1.0225
O -6.1502 1.6369 2.4506
O -7.5175 0.9466 -2.2883
O -9.1861 0.2890 0.3251
O -7.5122 2.5674 0.1734
O -3.0285 2.7712 -2.5722
O -1.6584 1.9071 -0.2445
O -6.0715 -0.1959 -0.0331
O -3.3322 -0.3713 -0.0928
O -7.8159 -0.5751 2.6528
O -3.3270 1.2495 2.3689
O -4.6942 0.5592 -2.3700
O -4.7730 2.3920 0.1137
```

## Properties
Total DFT energy (no corrections): -0.4219 Ry/atom
Symmetry: No. 2
Magnetization: 0.199 μB per atom